Record 1
Below is CeHo3Th2P6 after structural relaxation, with properties calculated at the PBE level.

Unit cell a=17.676 b=4.069 c=8.094 alpha=90.00 beta=102.94 gamma=90.00
Space group C2/m (No. 12)
One atom of each set of equivalent atoms:
Ce: 0.000 0.000 0.000 x2
Ho: 0.000 0.000 0.500 x2
Ho: 0.166 0.500 0.834 x4
Th: 0.166 0.500 0.332 x4
P: 0.002 0.500 0.747 x4
P: 0.165 0.000 0.588 x4
P: 0.168 0.000 0.078 x4

Calculated values
DOS at the Fermi energy	8.05	states/eV/f.u.
E_form	-1.5801	eV per atom

***

Record 2
Below is Ce2HoThP4 after structural relaxation, with properties calculated at the PBE level.

Unit cell a=7.062 b=4.087 c=7.082 alpha=90.00 beta=109.48 gamma=90.00
Space group P2/m (No. 10)
One atom of each set of equivalent atoms:
Ce: 0.000 0.000 0.000 x1
Ce: 0.500 0.500 0.000 x1
Ho: 0.000 0.500 0.500 x1
Th: 0.500 0.000 0.500 x1
P: 0.245 0.000 0.747 x2
P: 0.245 0.500 0.250 x2

Calculated values
DOS at the Fermi energy	10.16	states/eV/f.u.
E_form	-1.5472	eV per atom

***

Record 3
Below is Ce2HoTh3P6 after structural relaxation, with properties calculated at the PBE level.

Unit cell a=7.109 b=12.314 c=7.092 alpha=90.00 beta=109.52 gamma=90.00
Space group C2/m (No. 12)
One atom of each set of equivalent atoms:
Ce: 0.000 0.166 0.000 x4
Ho: 0.000 0.500 0.000 x2
Th: 0.000 0.000 0.500 x2
Th: 0.000 0.333 0.500 x4
P: 0.247 0.334 0.244 x8
P: 0.249 0.500 0.755 x4

Calculated values
DOS at the Fermi energy	11.26	states/eV/f.u.
E_form	-1.5528	eV per atom

***

Record 4
Below is Ce4HoTh3P8 after structural relaxation, with properties calculated at the PBE level.

Unit cell a=8.2049 b=8.2049 c=20.1069 alpha=90.00 beta=90.00 gamma=120.00
Space group R-3m (No. 166, hexagonal axes)
One atom of each set of equivalent atoms:
Ce: 0.0000 0.0000 0.0000 x3
Ce: 0.0000 0.5000 0.0000 x9
Ho: 0.0000 0.0000 0.5000 x3
Th: 0.0000 0.5000 0.5000 x9
P: 0.0000 0.0000 0.2512 x6
P: 0.0044 0.5022 0.2500 x18

Calculated values
DOS at the Fermi energy	20.24	states/eV/f.u.
E_form	-1.5429	eV per atom

***

Record 5
Below is Ce2Ho3TmP6 after structural relaxation, with properties calculated at the PBE level.

Unit cell a=6.948 b=12.034 c=6.944 alpha=90.00 beta=109.49 gamma=90.00
Space group C2/m (No. 12)
One atom of each set of equivalent atoms:
Ce: 0.000 0.166 0.000 x4
Ho: 0.000 0.000 0.500 x2
Ho: 0.000 0.333 0.500 x4
Tm: 0.000 0.500 0.000 x2
P: 0.246 0.500 0.747 x4
P: 0.249 0.335 0.251 x8

Calculated values
DOS at the Fermi energy	9.72	states/eV/f.u.
E_form	-1.5754	eV per atom

***

Record 6
Below is CeHoTm2P4 after structural relaxation, with properties calculated at the PBE level.

Unit cell a=6.902 b=3.993 c=6.907 alpha=90.00 beta=109.42 gamma=90.00
Space group P2/m (No. 10)
One atom of each set of equivalent atoms:
Ce: 0.000 0.000 0.000 x1
Ho: 0.000 0.500 0.500 x1
Tm: 0.500 0.000 0.500 x1
Tm: 0.500 0.500 0.000 x1
P: 0.253 0.000 0.750 x2
P: 0.255 0.500 0.254 x2

Calculated values
DOS at the Fermi energy	5.29	states/eV/f.u.
E_form	-1.5815	eV per atom

***

Record 7
Below is Ce2Ho3UP6 after structural relaxation, with properties calculated at the PBE level.

Unit cell a=17.484 b=4.005 c=8.035 alpha=90.00 beta=103.29 gamma=90.00
Space group C2/m (No. 12)
One atom of each set of equivalent atoms:
Ce: 0.166 0.000 0.333 x4
Ho: 0.000 0.500 0.500 x2
Ho: 0.168 0.000 0.833 x4
U: 0.000 0.500 0.000 x2
P: 0.002 0.000 0.755 x4
P: 0.165 0.500 0.078 x4
P: 0.166 0.500 0.586 x4

Calculated values
DOS at the Fermi energy	15.26	states/eV/f.u.
E_form	-1.4618	eV per atom

***

Record 8
Below is CeHo2UP4 after structural relaxation, with properties calculated at the PBE level.

Unit cell a=6.926 b=3.989 c=6.935 alpha=90.00 beta=109.35 gamma=90.00
Space group P2/m (No. 10)
One atom of each set of equivalent atoms:
Ce: 0.000 0.000 0.000 x1
Ho: 0.000 0.500 0.500 x1
Ho: 0.500 0.000 0.500 x1
U: 0.500 0.500 0.000 x1
P: 0.256 0.000 0.751 x2
P: 0.256 0.500 0.251 x2

Calculated values
DOS at the Fermi energy	10.65	states/eV/f.u.
E_form	-1.4156	eV per atom

***

Record 9
Below is Ce4HoU3P8 after structural relaxation, with properties calculated at the PBE level.

Unit cell a=8.0159 b=8.0159 c=19.8238 alpha=90.00 beta=90.00 gamma=120.00
Space group R-3m (No. 166, hexagonal axes)
One atom of each set of equivalent atoms:
Ce: 0.0000 0.0000 0.0000 x3
Ce: 0.0000 0.5000 0.0000 x9
Ho: 0.0000 0.0000 0.5000 x3
U: 0.0000 0.5000 0.5000 x9
P: 0.0000 0.0000 0.2461 x6
P: 0.0027 0.5014 0.7536 x18

Calculated values
DOS at the Fermi energy	30.61	states/eV/f.u.
E_form	-1.3059	eV per atom

***

Record 10
Below is CeHo2U3P6 after structural relaxation, with properties calculated at the PBE level.

Unit cell a=6.853 b=11.873 c=6.964 alpha=90.00 beta=109.15 gamma=90.00
Space group C2/m (No. 12)
One atom of each set of equivalent atoms:
Ce: 0.000 0.000 0.000 x2
Ho: 0.000 0.333 0.000 x4
U: 0.000 0.166 0.500 x4
U: 0.000 0.500 0.500 x2
P: 0.246 0.332 0.743 x8
P: 0.248 0.500 0.255 x4

Calculated values
DOS at the Fermi energy	17.77	states/eV/f.u.
E_form	-1.2652	eV per atom

***

Record 11
Below is CeY3Ho2P6 after structural relaxation, with properties calculated at the PBE level.

Unit cell a=6.951 b=12.037 c=6.954 alpha=90.00 beta=109.46 gamma=90.00
Space group C2/m (No. 12)
One atom of each set of equivalent atoms:
Ce: 0.000 0.000 0.000 x2
Y: 0.000 0.167 0.500 x4
Y: 0.000 0.500 0.500 x2
Ho: 0.000 0.333 0.000 x4
P: 0.249 0.500 0.248 x4
P: 0.250 0.167 0.249 x8

Calculated values
DOS at the Fermi energy	5.19	states/eV/f.u.
E_form	-1.6088	eV per atom

***

Record 12
Below is Ce2Y3HoP6 after structural relaxation, with properties calculated at the PBE level.

Unit cell a=6.984 b=12.095 c=6.977 alpha=90.00 beta=109.51 gamma=90.00
Space group C2/m (No. 12)
One atom of each set of equivalent atoms:
Ce: 0.000 0.167 0.000 x4
Y: 0.000 0.000 0.500 x2
Y: 0.000 0.333 0.500 x4
Ho: 0.000 0.500 0.000 x2
P: 0.248 0.500 0.749 x4
P: 0.249 0.334 0.250 x8

Calculated values
DOS at the Fermi energy	9.76	states/eV/f.u.
E_form	-1.5876	eV per atom

***

Record 13
Below is CeYHo2P4 after structural relaxation, with properties calculated at the PBE level.

Unit cell a=6.951 b=4.019 c=6.951 alpha=90.00 beta=109.41 gamma=90.00
Space group P2/m (No. 10)
One atom of each set of equivalent atoms:
Ce: 0.000 0.000 0.000 x1
Y: 0.000 0.500 0.500 x1
Ho: 0.500 0.000 0.500 x1
Ho: 0.500 0.500 0.000 x1
P: 0.252 0.000 0.751 x2
P: 0.253 0.500 0.252 x2

Calculated values
DOS at the Fermi energy	5.35	states/eV/f.u.
E_form	-1.5922	eV per atom

***

Record 14
Below is Ce3Y2HoP6 after structural relaxation, with properties calculated at the PBE level.

Unit cell a=7.012 b=12.148 c=6.995 alpha=90.00 beta=109.53 gamma=90.00
Space group C2/m (No. 12)
One atom of each set of equivalent atoms:
Ce: 0.000 0.000 0.000 x2
Ce: 0.000 0.333 0.000 x4
Y: 0.000 0.167 0.500 x4
Ho: 0.000 0.500 0.500 x2
P: 0.248 0.334 0.747 x8
P: 0.250 0.000 0.747 x4

Calculated values
DOS at the Fermi energy	13.47	states/eV/f.u.
E_form	-1.5643	eV per atom

***

Record 15
Below is Ce3YHo4P8 after structural relaxation, with properties calculated at the PBE level.

Unit cell a=8.0551 b=8.0551 c=19.6975 alpha=90.00 beta=90.00 gamma=120.00
Space group R-3m (No. 166, hexagonal axes)
One atom of each set of equivalent atoms:
Ce: 0.0000 0.5000 0.0000 x9
Y: 0.0000 0.0000 0.0000 x3
Ho: 0.0000 0.0000 0.5000 x3
Ho: 0.0000 0.5000 0.5000 x9
P: 0.0000 0.0000 0.2484 x6
P: 0.0006 0.5003 0.7510 x18

Calculated values
DOS at the Fermi energy	14.82	states/eV/f.u.
E_form	-1.5752	eV per atom

***

Record 16
Below is Ce2HoZrP4 after structural relaxation, with properties calculated at the PBE level.

Unit cell a=6.863 b=3.961 c=6.870 alpha=90.00 beta=109.39 gamma=90.00
Space group P2/m (No. 10)
One atom of each set of equivalent atoms:
Ce: 0.000 0.000 0.000 x1
Ce: 0.000 0.500 0.500 x1
Ho: 0.500 0.000 0.500 x1
Zr: 0.500 0.500 0.000 x1
P: 0.261 0.500 0.246 x2
P: 0.265 0.000 0.762 x2

Calculated values
DOS at the Fermi energy	8.02	states/eV/f.u.
E_form	-1.5042	eV per atom

***

Record 17
Below is CeHo2Pa after structural relaxation, with properties calculated at the PBE level.

Unit cell a=3.342 b=3.342 c=10.336 alpha=90.00 beta=90.00 gamma=90.00
Space group P4/mmm (No. 123)
One atom of each set of equivalent atoms:
Ce: 0.000 0.000 0.000 x1
Ho: 0.500 0.500 0.266 x2
Pa: 0.000 0.000 0.500 x1

Calculated values
DOS at the Fermi energy	9.40	states/eV/f.u.
offset from the most stable computed form	35.2	meV/atom
E_form	0.1671	eV per atom

***

Record 18
Below is CeHoPa after structural relaxation, with properties calculated at the PBE level.

Unit cell a=5.3467 b=5.3467 c=3.3323 alpha=90.00 beta=90.00 gamma=120.00
Space group P-6m2 (No. 187)
One atom of each set of equivalent atoms:
Ce: 0.0000 0.0000 0.0000 x1
Ho: 0.6667 0.3333 0.5000 x1
Pa: 0.3333 0.6667 0.0000 x1

Calculated values
DOS at the Fermi energy	8.70	states/eV/f.u.
offset from the most stable computed form	91.1	meV/atom
E_form	0.2109	eV per atom

***

Record 19
Below is CeHoPa after structural relaxation, with properties calculated at the PBE level.

Unit cell a=9.315 b=3.255 c=10.890 alpha=90.00 beta=90.00 gamma=90.00
Space group Pnma (No. 62)
One atom of each set of equivalent atoms:
Ce: 0.219 0.250 0.115 x4
Ho: 0.073 0.750 0.366 x4
Pa: 0.088 0.750 0.879 x4

Calculated values
DOS at the Fermi energy	7.22	states/eV/f.u.
offset from the most stable computed form	21.1	meV/atom
E_form	0.1408	eV per atom

***

Record 20
Below is CeHo2Pa after structural relaxation, with properties calculated at the PBE level.

Unit cell a=4.720 b=4.720 c=5.086 alpha=90.00 beta=90.00 gamma=90.00
Space group P4/mmm (No. 123)
One atom of each set of equivalent atoms:
Ce: 0.000 0.000 0.000 x1
Ho: 0.000 0.500 0.500 x2
Pa: 0.500 0.500 0.000 x1

Calculated values
DOS at the Fermi energy	9.56	states/eV/f.u.
offset from the most stable computed form	82.6	meV/atom
E_form	0.2145	eV per atom